No. 1
A plane-wave DFT calculation with SCAN was carried out for a PBEsol-optimized structure of BaTaIr2.

* ΔH_f (0 K): 0.6443 eV/atom
* V: 311 Å³ per cell

a = 6.7788 Å, b = 6.7788 Å, c = 6.7788 Å
α = 90.00°, β = 90.00°, γ = 90.00°
Positions (direct):
Ba: 0.0000 0.0000 0.0000
Ba: 0.0000 0.5000 0.5000
Ba: 0.5000 0.0000 0.5000
Ba: 0.5000 0.5000 0.0000
Ta: 0.0000 0.0000 0.5000
Ta: 0.0000 0.5000 0.0000
Ta: 0.5000 0.0000 0.0000
Ta: 0.5000 0.5000 0.5000
Ir: 0.2500 0.2500 0.2500
Ir: 0.2500 0.2500 0.7500
Ir: 0.2500 0.7500 0.2500
Ir: 0.2500 0.7500 0.7500
Ir: 0.7500 0.2500 0.2500
Ir: 0.7500 0.2500 0.7500
Ir: 0.7500 0.7500 0.2500
Ir: 0.7500 0.7500 0.7500



No. 2
A plane-wave DFT calculation with SCAN was carried out for a PBEsol-optimized structure of Cs2CdAg2.

* ΔH_f (0 K): 0.0906 eV/atom
* V: 389 Å³ per cell

a = 6.9074 Å, b = 6.9074 Å, c = 8.1445 Å
α = 90.00°, β = 90.00°, γ = 90.00°
Positions (direct):
Cs: 0.0000 0.5000 0.2500
Cs: 0.0000 0.5000 0.7500
Cs: 0.5000 0.0000 0.2500
Cs: 0.5000 0.0000 0.7500
Cd: 0.0000 0.0000 0.0000
Cd: 0.5000 0.5000 0.5000
Ag: 0.0000 0.0000 0.3367
Ag: 0.0000 0.0000 0.6633
Ag: 0.5000 0.5000 0.1633
Ag: 0.5000 0.5000 0.8367



No. 3
A plane-wave DFT calculation with SCAN was carried out for a PBEsol-optimized structure of ZrTa2Ni.

* ΔH_f (0 K): -0.0592 eV/atom
* V: 67 Å³ per cell

a = 3.2407 Å, b = 3.2407 Å, c = 6.4079 Å
α = 90.00°, β = 90.00°, γ = 90.00°
Positions (direct):
Zr: 0.0000 0.0000 0.0000
Ta: 0.0000 0.0000 0.4758
Ta: 0.5000 0.5000 0.7221
Ni: 0.5000 0.5000 0.2512



No. 4
A plane-wave DFT calculation with SCAN was carried out for a PBEsol-optimized structure of Cs2SrW2.

* ΔH_f (0 K): 1.6679 eV/atom
* V: 382 Å³ per cell

a = 4.8995 Å, b = 4.8995 Å, c = 15.9335 Å
α = 90.00°, β = 90.00°, γ = 90.00°
Positions (direct):
Cs: 0.0000 0.5000 0.2500
Cs: 0.0000 0.5000 0.7500
Cs: 0.5000 0.0000 0.2500
Cs: 0.5000 0.0000 0.7500
Sr: 0.0000 0.0000 0.0000
Sr: 0.5000 0.5000 0.5000
W: 0.0000 0.0000 0.4337
W: 0.0000 0.0000 0.5663
W: 0.5000 0.5000 0.0663
W: 0.5000 0.5000 0.9337



No. 5
A plane-wave DFT calculation with SCAN was carried out for a PBEsol-optimized structure of CoTc2PtRh.

* ΔH_f (0 K): 1.8552 eV/atom
* V: 96 Å³ per cell

a = 4.4803 Å, b = 4.4803 Å, c = 4.7935 Å
α = 90.00°, β = 90.00°, γ = 90.00°
Positions (direct):
Co: 0.0000 0.0000 0.0000
Tc: 0.0000 0.5000 0.5000
Tc: 0.5000 0.0000 0.5000
Pt: 0.5000 0.5000 0.0000
Rh: 0.5000 0.5000 0.5000



No. 6
A plane-wave DFT calculation with SCAN was carried out for a PBEsol-optimized structure of HfSc2ZnBi.

* ΔH_f (0 K): 0.7380 eV/atom
* V: 132 Å³ per cell

a = 5.1323 Å, b = 5.1323 Å, c = 5.0102 Å
α = 90.00°, β = 90.00°, γ = 90.00°
Positions (direct):
Hf: 0.0000 0.0000 0.0000
Sc: 0.0000 0.5000 0.0000
Sc: 0.5000 0.0000 0.0000
Zn: 0.0000 0.0000 0.5000
Bi: 0.5000 0.5000 0.5000



> What is the V in the fifth record?

96 Å³ per cell